Here is an optimized crystal structure of Ba6SbSe2I3 from Alexandria. Energies are from PBE-GGA.

The formation energy (no corrections) comes out at -1613 meV per atom. For the theoretical density, the calculation gives 4.868 g/cm³. As for the density of states at the Fermi level: 3.98 states/eV/cell. As for the raw total energy: -3.887 eV/atom. The value obtained for the size of the total moment is 0.0 μB/cell.

```
12
Lattice="4.219 -7.302 0.000 4.219 7.302 0.000 -2.813 0.000 8.216" Properties=species:S:1:pos:R:3 pbc="T T T"
Ba -0.030 2.486 6.429
Ba 1.346 0.000 1.779
Ba -0.030 -2.486 6.429
Ba 5.657 2.486 1.787
Ba 4.281 0.000 6.437
Ba 5.657 -2.486 1.787
Sb 4.219 0.000 0.000
Se 4.219 4.865 0.000
Se 4.219 -4.865 0.000
I -1.406 0.000 4.108
I 2.813 2.395 4.108
I 2.813 -2.395 4.108
```

---

Here is an optimized crystal structure of LiSe3 from Alexandria. Energies are from PBE-GGA.

The formation energy (no corrections) comes out at -333 meV per atom. For the theoretical density, the calculation gives 4.888 g/cm³. The calculation puts the offset from the most stable computed form at 109 meV per atom. As for the density of states at the Fermi level: 1.24 states/eV/cell. As for the raw total energy: -3.425 eV/atom. The value obtained for the size of the total moment is 0.0 μB/cell.

```
4
Lattice="3.994 0.000 0.000 0.000 5.295 0.000 0.000 0.000 3.916" Properties=species:S:1:pos:R:3 pbc="T T T"
Li 0.000 0.000 0.000
Se 0.000 2.648 0.213
Se 1.997 0.000 1.876
Se 1.997 2.648 2.272
```

---

Here is an optimized crystal structure of Tl2ReW from Alexandria. Energies are from PBE-GGA.

For the theoretical density, the calculation gives 14.757 g/cm³. The calculation puts the offset from the most stable computed form at 156 meV per atom. As for the density of states at the Fermi level: 2.85 states/eV/cell. As for the raw total energy: -6.836 eV/atom. The value obtained for the size of the total moment is 0.0 μB/cell. As for the energy of formation from the pure elements: 269 kJ/mol of formula units.

```
4
Lattice="1.632 -2.476 0.000 1.632 2.476 0.000 0.000 0.000 10.845" Properties=species:S:1:pos:R:3 pbc="T T T"
Tl 0.000 0.000 0.000
Tl 1.632 0.000 3.490
Re 0.000 0.000 6.195
W 1.632 0.000 8.103
```

---

Here is an optimized crystal structure of PrZn2CuAu4 from Alexandria. Energies are from PBE-GGA.

For the theoretical density, the calculation gives 12.200 g/cm³. As for the density of states at the Fermi level: 3.98 states/eV/cell. As for the raw total energy: -3.436 eV/atom. The value obtained for the size of the total moment is 0.0 μB/cell. As for the energy of formation from the pure elements: -285 kJ/mol of formula units.

```
8
Lattice="2.224 1.284 8.925 -2.224 1.284 8.925 0.000 -2.568 8.925" Properties=species:S:1:pos:R:3 pbc="T T T"
Pr 0.000 0.000 0.000
Zn 0.000 0.000 6.377
Zn 0.000 0.000 20.399
Cu 0.000 0.000 13.388
Au 0.000 0.000 3.558
Au 0.000 0.000 10.715
Au 0.000 0.000 16.062
Au 0.000 0.000 23.218
```

---

Here is an optimized crystal structure of CoW from Alexandria. Energies are from PBE-GGA.

For the theoretical density, the calculation gives 14.778 g/cm³. As for the density of states at the Fermi level: 2.03 states/eV/cell. As for the raw total energy: -9.743 eV/atom. The value obtained for the size of the total moment is 0.4 μB/cell. As for the energy of formation from the pure elements: 55 kJ/mol of formula units.

```
2
Lattice="1.354 0.782 4.295 -1.354 0.782 4.295 0.000 -1.564 4.295" Properties=species:S:1:pos:R:3 pbc="T T T"
Co 0.000 0.000 0.000
W 0.000 0.000 6.442
```

---

Here is an optimized crystal structure of HfTlOsO6 from Alexandria. Energies are from PBE-GGA.

The formation energy (no corrections) comes out at -1721 meV per atom. For the theoretical density, the calculation gives 7.538 g/cm³. As for the density of states at the Fermi level: 5.20 states/eV/cell. As for the raw total energy: -7.643 eV/atom. The value obtained for the size of the total moment is 2.1 μB/cell.

```
18
Lattice="-3.663 3.782 5.320 3.663 -3.782 5.320 3.663 3.782 -5.320" Properties=species:S:1:pos:R:3 pbc="T T T"
Hf 0.000 0.000 0.000
Hf 0.000 3.782 0.000
Tl 3.663 1.891 1.896
Tl 0.000 1.891 3.423
Os 1.831 1.891 -2.660
Os 1.831 -1.891 2.660
O 3.663 1.891 -2.110
O 1.452 -0.562 1.388
O 5.874 -0.562 1.388
O 1.452 3.220 -1.388
O 2.211 -0.562 3.931
O 0.000 1.891 0.792
O 3.663 1.891 4.527
O 1.452 4.345 1.388
O 2.211 0.562 6.708
O -2.211 4.345 3.931
O 2.211 4.345 3.931
O 0.000 1.891 7.430
```

---

Here is an optimized crystal structure of Hf2TcHAu from Alexandria. Energies are from PBE-GGA.

For the theoretical density, the calculation gives 14.339 g/cm³. As for the density of states at the Fermi level: 1.94 states/eV/cell. As for the raw total energy: -7.766 eV/atom. The value obtained for the size of the total moment is 0.0 μB/cell.

```
5
Lattice="4.495 0.000 0.000 0.000 4.495 0.000 0.000 0.000 3.743" Properties=species:S:1:pos:R:3 pbc="T T T"
Hf 0.000 2.247 0.000
Hf 2.247 0.000 0.000
Tc 0.000 0.000 1.872
H 0.000 0.000 0.000
Au 2.247 2.247 1.872
```

---

Here is an optimized crystal structure of CuGeB3 from Alexandria. Energies are from PBE-GGA.

For the theoretical density, the calculation gives 3.999 g/cm³. The calculation puts the offset from the most stable computed form at 389 meV per atom. As for the density of states at the Fermi level: 2.40 states/eV/cell. As for the raw total energy: -3.723 eV/atom. The value obtained for the size of the total moment is 0.0 μB/cell. As for the energy of formation from the pure elements: 978 kJ/mol of formula units.

```
5
Lattice="4.121 0.000 0.000 0.000 4.121 0.000 0.000 0.000 4.121" Properties=species:S:1:pos:R:3 pbc="T T T"
Cu 0.000 0.000 0.000
Ge 2.061 2.061 2.061
B 0.000 2.061 2.061
B 2.061 0.000 2.061
B 2.061 2.061 0.000
```